(1)
Density functional theory data (GGA-PBEsol) for YHO2 after structural relaxation.

Summary:
calculated total energy = -7.83 eV/atom
V = 90 Å³/cell

abc: 3.4722 4.7853 5.4110
angles: 90.00 90.00 90.00
Closest atoms and distances in Å follow each position.
Sites, in units of the cell vectors:
Y: 0.0000 0.2249 0.0000  6 O 2.20-2.36
Y: 0.5000 0.7751 0.5000  6 O 2.20-2.36
H: 0.0000 0.3032 0.4814  1 O 1.03
H: 0.5000 0.6968 0.9814  1 O 1.03
O: 0.0000 0.0219 0.6347  1 H 1.58
O: 0.0000 0.4802 0.3721  1 H 1.03
O: 0.5000 0.5198 0.8721  1 H 1.03
O: 0.5000 0.9781 0.1347  1 H 1.58

(2)
Density functional theory data (GGA-PBEsol) for YHO2 after structural relaxation.

Summary:
calculated total energy = -7.84 eV/atom
V = 187 Å³/cell

abc: 10.7406 3.5009 4.9726
angles: 90.00 90.00 90.00
Closest atoms and distances in Å follow each position.
Sites, in units of the cell vectors:
Y: 0.1425 0.2500 0.1080  6 O 2.21-2.36
Y: 0.3575 0.7500 0.6080  6 O 2.21-2.36
Y: 0.6425 0.2500 0.3920  6 O 2.21-2.36
Y: 0.8575 0.7500 0.8920  6 O 2.21-2.36
H: 0.1049 0.7500 0.6371  1 O 1.02
H: 0.3951 0.2500 0.1371  1 O 1.02
H: 0.6049 0.7500 0.8629  1 O 1.02
H: 0.8951 0.2500 0.3629  1 O 1.02
O: 0.0706 0.7500 0.8287  1 H 1.02
O: 0.1864 0.7500 0.3613  1 H 1.63
O: 0.3136 0.2500 0.8613  1 H 1.63
O: 0.4294 0.2500 0.3287  1 H 1.02
O: 0.5706 0.7500 0.6713  1 H 1.02
O: 0.6864 0.7500 0.1387  1 H 1.63
O: 0.8136 0.2500 0.6387  1 H 1.63
O: 0.9294 0.2500 0.1713  1 H 1.02

(3)
Density functional theory data (GGA-PBEsol) for YHO2 after structural relaxation.

Summary:
calculated total energy = -6.83 eV/atom
V = 182 Å³/cell

abc: 4.2402 4.2402 10.1222
angles: 90.00 90.00 90.00
Closest atoms and distances in Å follow each position.
Sites, in units of the cell vectors:
Y: 0.0000 0.0000 0.0000  4 O 2.12
Y: 0.0000 0.5000 0.2500  4 O 2.12
Y: 0.5000 0.0000 0.7500  4 O 2.12
Y: 0.5000 0.5000 0.5000  4 O 2.12
H: 0.0000 0.0000 0.5000  4 O 1.83
H: 0.0000 0.5000 0.7500  4 O 1.83
H: 0.5000 0.0000 0.2500  4 O 1.83
H: 0.5000 0.5000 0.0000  4 O 1.83
O: 0.1850 0.2500 0.6250  2 H 1.83
O: 0.2500 0.6850 0.8750  2 H 1.83
O: 0.2500 0.8150 0.3750  2 H 1.83
O: 0.3150 0.2500 0.1250  2 H 1.83
O: 0.6850 0.7500 0.1250  2 H 1.83
O: 0.7500 0.1850 0.3750  2 H 1.83
O: 0.7500 0.3150 0.8750  2 H 1.83
O: 0.8150 0.7500 0.6250  2 H 1.83

(4)
Density functional theory data (GGA-PBEsol) for ZrH3O after structural relaxation.

Summary:
calculated total energy = -4.51 eV/atom
V = 37 Å³/cell

abc: 3.3241 3.3241 3.3241
angles: 90.00 90.00 90.00
Closest atoms and distances in Å follow each position.
Sites, in units of the cell vectors:
Zr: 0.0000 0.0000 0.0000  12 H 2.35
H: 0.0000 0.5000 0.5000  2 O 1.66
H: 0.5000 0.0000 0.5000  2 O 1.66
H: 0.5000 0.5000 0.0000  2 O 1.66
O: 0.5000 0.5000 0.5000  6 H 1.66

(5)
Density functional theory data (GGA-PBEsol) for PH2Os after structural relaxation.

Summary:
calculated total energy = -5.17 eV/atom
V = 132 Å³/cell

abc: 5.0907 5.0907 5.0907
angles: 90.00 90.00 90.00
Closest atoms and distances in Å follow each position.
Sites, in units of the cell vectors:
P: 0.0000 0.0000 0.0000  8 H 2.20
P: 0.0000 0.5000 0.5000  8 H 2.20
P: 0.5000 0.0000 0.5000  8 H 2.20
P: 0.5000 0.5000 0.0000  8 H 2.20
H: 0.2500 0.2500 0.2500  4 Os 2.20, 4 P 2.20
H: 0.2500 0.2500 0.7500  4 Os 2.20, 4 P 2.20
H: 0.2500 0.7500 0.2500  4 Os 2.20, 4 P 2.20
H: 0.2500 0.7500 0.7500  4 Os 2.20, 4 P 2.20
H: 0.7500 0.2500 0.2500  4 Os 2.20, 4 P 2.20
H: 0.7500 0.2500 0.7500  4 Os 2.20, 4 P 2.20
H: 0.7500 0.7500 0.2500  4 Os 2.20, 4 P 2.20
H: 0.7500 0.7500 0.7500  4 Os 2.20, 4 P 2.20
Os: 0.0000 0.0000 0.5000  8 H 2.20
Os: 0.0000 0.5000 0.0000  8 H 2.20
Os: 0.5000 0.0000 0.0000  8 H 2.20
Os: 0.5000 0.5000 0.5000  8 H 2.20

(6)
Density functional theory data (GGA-PBEsol) for P2HOsSe after structural relaxation.

Summary:
calculated total energy = -5.38 eV/atom
V = 65 Å³/cell

abc: 4.6058 4.6058 3.0707
angles: 90.00 90.00 90.00
Closest atoms and distances in Å follow each position.
Sites, in units of the cell vectors:
P: 0.0000 0.5000 0.0000  2 Se 2.30
P: 0.5000 0.0000 0.0000  2 Se 2.30
H: 0.0000 0.0000 0.5000  2 Se 1.54
Os: 0.5000 0.5000 0.5000  8 P 2.77, 2 Os 3.07
Se: 0.0000 0.0000 0.0000  2 H 1.54